Entry 1:
Ba2HoGa2O6, relaxed, DFT PBE; density = 5810 kg/m³; crystal system = trigonal; raw formation energy = -26.2 eV/f.u.; D(E_F) = 1.0 states/eV per cell; raw total energy = -70.4 eV per cell
1.0
-3.328 2.929 -4.166
-0.967 -2.530 -5.448
-6.406 -2.514 -1.093
Ba O Ga Ho
2 6 2 1
Cartesian
-3.246 -0.832 -2.435
-7.455 -1.282 -8.273
-5.888 -1.805 -3.158
-4.813 -0.309 -7.549
-6.387 -3.110 -5.970
-3.096 -1.820 -5.400
-4.314 0.996 -4.738
-7.605 -0.294 -5.308
-6.380 -1.605 -4.917
-4.322 -0.509 -5.791
0.000 0.000 0.000

---

Entry 2:
SmSc2Zn9, relaxed, DFT PBE; density = 6630 kg/m³; crystal system = trigonal; ΔH_f (0 K) = -323 meV per atom; D(E_F) = 7.0 states/eV per cell; raw total energy = -32.7 eV per cell
1.0
5.109 0.000 1.520
2.328 4.547 1.520
0.108 0.066 8.981
Zn Sm Sc
9 1 2
Cartesian
4.463 2.729 8.470
2.599 1.589 9.953
3.772 2.307 6.011
5.696 1.884 4.329
4.945 3.024 2.068
3.272 0.402 7.692
4.273 4.211 4.329
3.081 1.884 3.551
1.849 2.729 7.692
0.000 0.000 0.000
1.125 0.688 5.562
6.419 3.925 6.460

---

Entry 3:
OsRh2Cl, relaxed, DFT PBE; density = 11214 kg/m³; crystal system = orthorhombic; raw formation energy = 2.6 eV/f.u.; D(E_F) = 3.4 states/eV per cell; raw total energy = -25.1 eV per cell; energy above the lowest structure with this stoichiometry = 378 meV per atom
1.0
2.845 0.000 0.000
0.000 3.496 0.000
0.000 0.000 6.425
Rh Cl Os
2 1 1
Cartesian
0.000 0.000 6.365
1.422 1.748 1.399
0.000 0.000 3.166
1.422 1.748 5.132

---

Entry 4:
LaCe2Zr, relaxed, DFT PBE; density = 7511 kg/m³; crystal system = tetragonal; ΔH_f (0 K) = 161 meV per atom; D(E_F) = 10.1 states/eV per cell; raw total energy = -24.7 eV per cell; energy above the lowest structure with this stoichiometry = 44 meV per atom
1.0
4.983 0.000 0.000
0.000 4.759 0.000
0.000 0.000 4.759
Ce Zr La
2 1 1
Cartesian
0.000 2.379 0.000
0.000 0.000 2.379
2.491 2.379 2.379
2.491 0.000 0.000